Below is ZrBeFeSb2 after structural relaxation, with properties calculated at the PBE level.

a b c (Å): 4.913 3.941 4.913
angles (deg): 90.00 90.00 90.00
Site moments in Bohr magnetons follow the coordinates.
Element x y z (fractional)
Sb: 0.000 0.000 0.500  -0.01
Sb: 0.500 0.000 0.000  -0.01
Fe: 0.000 0.500 0.000  1.80
Zr: 0.500 0.500 0.500  -0.20
Be: 0.000 0.000 0.000  -0.07

Properties
Density of states at the Fermi level = 0.631 states/eV/atom
Final energy = -5.462 eV/atom
Space group = P4/mmm
ΔE_f (raw) = 0.335 eV/atom
Total magnetic moment = 0.274 μB/atom